CaZrAsBr2 | Alexandria via LeMat-Bulk | PBE | relaxed; SG = P4/mmm; E_form (uncorrected) = -816.3 meV/atom; energy above the lowest structure with this stoichiometry = 0 kJ/mol of formula units
1.0
5.260 0.000 0.000
0.000 5.260 0.000
0.000 0.000 5.381
Ca Zr As Br
1 1 1 2
direct
0.000 0.000 0.000
0.500 0.500 0.500
0.500 0.500 0.000
0.000 0.500 0.500
0.500 0.000 0.500